First-principles (PBE) data for NdZr2Co9 after structural relaxation, as listed in Alexandria.

Summary:
Final energy ... -7.35 eV/atom
Crystal system ... trigonal

Lattice parameters (Å, degrees): 8.451 8.451 8.451 33.94 33.94 33.94
Fractional coordinates of all 12 atoms:
Nd 0.000 0.000 0.000
Zr 0.140 0.140 0.140
Zr 0.860 0.860 0.860
Co 0.079 0.588 0.588
Co 0.336 0.336 0.336
Co 0.412 0.412 0.921
Co 0.412 0.921 0.412
Co 0.500 0.500 0.500
Co 0.588 0.079 0.588
Co 0.588 0.588 0.079
Co 0.664 0.664 0.664
Co 0.921 0.412 0.412